Crystalline CrGaBr3 at its relaxed geometry, computed with PBE.

Results
V (Å³ per cell): 141.7
ΔE_f (raw) (eV per atom): -0.508
Energy above the most stable polymorph in this dataset (meV/atom): 0

CIF file:
```
data_CrGaBr3
_cell_length_a 5.2137
_cell_length_b 5.2137
_cell_length_c 5.2137
_cell_angle_alpha 90.00
_cell_angle_beta 90.00
_cell_angle_gamma 90.00
_space_group_name_H-M_alt 'P 1'
_space_group_IT_number 1
loop_
_space_group_symop_operation_xyz
'x,y,z'
loop_
_atom_site_label
_atom_site_fract_x
_atom_site_fract_y
_atom_site_fract_z
_atom_site_occupancy
Ga1 0.5000 0.5000 0.5000 1
Br1 0.0000 0.0000 0.5000 1
Br2 0.0000 0.5000 0.0000 1
Br3 0.5000 0.0000 0.0000 1
Cr1 0.0000 0.0000 0.0000 1
```

Crystalline ZnCrPt2 at its relaxed geometry, computed with PBE.

Results
Formation enthalpy at 0 K (eV/atom): -0.209
V (Å³ per cell): 59.8

CIF file:
```
data_ZnCrPt2
_cell_length_a 4.5916
_cell_length_b 4.5916
_cell_length_c 4.8750
_cell_angle_alpha 79.20
_cell_angle_beta 79.20
_cell_angle_gamma 36.39
_space_group_name_H-M_alt 'P 1'
_space_group_IT_number 1
loop_
_space_group_symop_operation_xyz
'x,y,z'
loop_
_atom_site_label
_atom_site_fract_x
_atom_site_fract_y
_atom_site_fract_z
_atom_site_occupancy
Zn1 0.7500 0.7500 0.7500 1
Pt1 0.9983 0.9983 0.0025 1
Pt2 0.5017 0.5017 0.4975 1
Cr1 0.2500 0.2500 0.2500 1
```

Crystalline Pu2Te3 at its relaxed geometry, computed with PBE.

Results
V (Å³ per cell): 1213.2
ΔE_f (raw) (eV per atom): -1.005

CIF file:
```
data_Pu2Te3
_cell_length_a 24.2067
_cell_length_b 9.2945
_cell_length_c 9.2945
_cell_angle_alpha 90.00
_cell_angle_beta 54.83
_cell_angle_gamma 54.83
_space_group_name_H-M_alt 'P 1'
_space_group_IT_number 1
loop_
_space_group_symop_operation_xyz
'x,y,z'
loop_
_atom_site_label
_atom_site_fract_x
_atom_site_fract_y
_atom_site_fract_z
_atom_site_occupancy
Te1 0.9475 0.1541 0.1551 1
Te2 0.2130 0.8534 0.5037 1
Te3 0.9475 0.5035 0.0024 1
Te4 0.4475 0.5024 0.0035 1
Te5 0.5504 0.8491 0.5006 1
Te6 0.2829 0.4994 0.0004 1
Te7 0.3859 0.9965 0.3449 1
Te8 0.8859 0.9976 0.8459 1
Te9 0.5504 0.9996 0.8481 1
Te10 0.3859 0.3459 0.4976 1
Te11 0.7829 0.6509 0.6519 1
Te12 0.6203 0.4963 0.9925 1
Te13 0.7829 0.5004 0.9994 1
Te14 0.0504 0.3481 0.4996 1
Te15 0.1203 0.4925 0.9963 1
Te16 0.2130 0.0075 0.8572 1
Te17 0.0504 0.0006 0.3491 1
Te18 0.7130 0.3572 0.5075 1
Te19 0.7130 0.0037 0.3534 1
Te20 0.2829 0.1519 0.1509 1
Te21 0.6203 0.1428 0.1466 1
Te22 0.8859 0.8449 0.4965 1
Te23 0.4475 0.6551 0.6541 1
Te24 0.1203 0.6466 0.6428 1
Pu1 0.9974 0.1256 0.7559 1
Pu2 0.8359 0.7481 0.8744 1
Pu3 0.2502 0.8746 0.1246 1
Pu4 0.1667 0.2500 0.6307 1
Pu5 0.1667 0.7500 0.8693 1
Pu6 0.9974 0.3821 0.2519 1
Pu7 0.3359 0.3744 0.2481 1
Pu8 0.0831 0.6254 0.3754 1
Pu9 0.3359 0.1179 0.7441 1
Pu10 0.6667 0.3693 0.2500 1
Pu11 0.4974 0.2559 0.6256 1
Pu12 0.8359 0.2441 0.6179 1
Pu13 0.6667 0.1307 0.7500 1
Pu14 0.5831 0.8754 0.1254 1
Pu15 0.7502 0.6246 0.3746 1
Pu16 0.4974 0.7519 0.8821 1
```

Crystalline NaBeSe3 at its relaxed geometry, computed with PBE.

Results
V (Å³ per cell): 105.9
ΔE_f (raw) (eV per atom): -0.133
Energy above the most stable polymorph in this dataset (meV/atom): 0

CIF file:
```
data_NaBeSe3
_cell_length_a 4.7310
_cell_length_b 4.7310
_cell_length_c 4.7310
_cell_angle_alpha 90.00
_cell_angle_beta 90.00
_cell_angle_gamma 90.00
_space_group_name_H-M_alt 'P 1'
_space_group_IT_number 1
loop_
_space_group_symop_operation_xyz
'x,y,z'
loop_
_atom_site_label
_atom_site_fract_x
_atom_site_fract_y
_atom_site_fract_z
_atom_site_occupancy
Se1 0.0000 0.0000 0.5000 1
Se2 0.0000 0.5000 0.0000 1
Se3 0.5000 0.0000 0.0000 1
Be1 0.0000 0.0000 0.0000 1
Na1 0.5000 0.5000 0.5000 1
```

Crystalline Sm2TaCd at its relaxed geometry, computed with PBE.

Results
Formation enthalpy at 0 K (eV/atom): 0.550
V (Å³ per cell): 103.3

CIF file:
```
data_Sm2TaCd
_cell_length_a 3.1821
_cell_length_b 3.1821
_cell_length_c 11.9273
_cell_angle_alpha 82.33
_cell_angle_beta 82.33
_cell_angle_gamma 60.00
_space_group_name_H-M_alt 'P 1'
_space_group_IT_number 1
loop_
_space_group_symop_operation_xyz
'x,y,z'
loop_
_atom_site_label
_atom_site_fract_x
_atom_site_fract_y
_atom_site_fract_z
_atom_site_occupancy
Sm1 0.0848 0.0848 0.7455 1
Sm2 0.9152 0.9152 0.2545 1
Ta1 0.0000 0.0000 0.0000 1
Cd1 0.5000 0.5000 0.5000 1
```

Crystalline Mg2ZrCu at its relaxed geometry, computed with PBE.

Results
Formation enthalpy at 0 K (eV/atom): 0.178
V (Å³ per cell): 74.7

CIF file:
```
data_Mg2ZrCu
_cell_length_a 4.7267
_cell_length_b 4.7267
_cell_length_c 4.7267
_cell_angle_alpha 60.00
_cell_angle_beta 60.00
_cell_angle_gamma 60.00
_space_group_name_H-M_alt 'P 1'
_space_group_IT_number 1
loop_
_space_group_symop_operation_xyz
'x,y,z'
loop_
_atom_site_label
_atom_site_fract_x
_atom_site_fract_y
_atom_site_fract_z
_atom_site_occupancy
Mg1 0.7500 0.7500 0.7500 1
Mg2 0.2500 0.2500 0.2500 1
Cu1 0.0000 0.0000 0.0000 1
Zr1 0.5000 0.5000 0.5000 1
```

Crystalline HgTe2Pb4Se at its relaxed geometry, computed with PBE.

Results
V (Å³ per cell): 260.5
ΔE_f (raw) (eV per atom): -0.242

CIF file:
```
data_HgTe2Pb4Se
_cell_length_a 4.3402
_cell_length_b 7.6372
_cell_length_c 8.2467
_cell_angle_alpha 72.33
_cell_angle_beta 90.00
_cell_angle_gamma 90.00
_space_group_name_H-M_alt 'P 1'
_space_group_IT_number 1
loop_
_space_group_symop_operation_xyz
'x,y,z'
loop_
_atom_site_label
_atom_site_fract_x
_atom_site_fract_y
_atom_site_fract_z
_atom_site_occupancy
Te1 0.0000 0.0000 0.0000 1
Te2 0.5000 0.0000 0.5000 1
Pb1 0.5000 0.7319 0.2452 1
Pb2 0.5000 0.2681 0.7548 1
Pb3 0.0000 0.7348 0.7615 1
Pb4 0.0000 0.2652 0.2385 1
Hg1 0.0000 0.5000 0.5000 1
Se1 0.5000 0.5000 0.0000 1
```

Crystalline Ag2Pb at its relaxed geometry, computed with PBE.

Results
Formation enthalpy at 0 K (eV/atom): 0.230
V (Å³ per cell): 218.7

CIF file:
```
data_Ag2Pb
_cell_length_a 7.2658
_cell_length_b 7.2658
_cell_length_c 4.7833
_cell_angle_alpha 90.00
_cell_angle_beta 90.00
_cell_angle_gamma 120.00
_space_group_name_H-M_alt 'P 1'
_space_group_IT_number 1
loop_
_space_group_symop_operation_xyz
'x,y,z'
loop_
_atom_site_label
_atom_site_fract_x
_atom_site_fract_y
_atom_site_fract_z
_atom_site_occupancy
Pb1 0.0000 0.0000 0.5000 1
Pb2 0.6667 0.3333 0.0000 1
Pb3 0.3333 0.6667 0.0000 1
Ag1 0.7692 0.7692 0.0000 1
Ag2 0.4593 0.0000 0.5000 1
Ag3 0.0000 0.2308 0.0000 1
Ag4 0.2308 0.0000 0.0000 1
Ag5 0.5407 0.5407 0.5000 1
Ag6 0.0000 0.4593 0.5000 1
```

Crystalline MgReOs2S at its relaxed geometry, computed with PBE.

Results
V (Å³ per cell): 91.8
ΔE_f (raw) (eV per atom): 2.833

CIF file:
```
data_MgReOs2S
_cell_length_a 4.4832
_cell_length_b 4.5668
_cell_length_c 4.4832
_cell_angle_alpha 90.00
_cell_angle_beta 90.00
_cell_angle_gamma 90.00
_space_group_name_H-M_alt 'P 1'
_space_group_IT_number 1
loop_
_space_group_symop_operation_xyz
'x,y,z'
loop_
_atom_site_label
_atom_site_fract_x
_atom_site_fract_y
_atom_site_fract_z
_atom_site_occupancy
Os1 0.5000 0.0000 0.0000 1
Os2 0.0000 0.0000 0.5000 1
S1 0.5000 0.5000 0.5000 1
Mg1 0.0000 0.0000 0.0000 1
Re1 0.0000 0.5000 0.0000 1
```

Crystalline MoOsS at its relaxed geometry, computed with PBE.

Results
V (Å³ per cell): 190.8
ΔE_f (raw) (eV per atom): -0.029
Energy above the most stable polymorph in this dataset (meV/atom): 89

CIF file:
```
data_MoOsS
_cell_length_a 6.0219
_cell_length_b 2.9447
_cell_length_c 11.6186
_cell_angle_alpha 90.00
_cell_angle_beta 112.18
_cell_angle_gamma 90.00
_space_group_name_H-M_alt 'P 1'
_space_group_IT_number 1
loop_
_space_group_symop_operation_xyz
'x,y,z'
loop_
_atom_site_label
_atom_site_fract_x
_atom_site_fract_y
_atom_site_fract_z
_atom_site_occupancy
Mo1 0.6323 0.5000 0.9595 1
Mo2 0.6323 0.0000 0.4595 1
Mo3 0.4484 0.0000 0.7055 1
Mo4 0.4484 0.5000 0.2055 1
S1 0.9749 0.5000 0.5648 1
S2 0.7708 0.5000 0.7924 1
S3 0.7708 0.0000 0.2924 1
S4 0.9749 0.0000 0.0648 1
Os1 0.3107 0.0000 0.9929 1
Os2 0.3107 0.5000 0.4929 1
Os3 0.1550 0.5000 0.7875 1
Os4 0.1550 0.0000 0.2875 1
```

Crystalline Zr2AlCr2Ru5 at its relaxed geometry, computed with PBE.

Results
Formation enthalpy at 0 K (eV/atom): -0.192
V (Å³ per cell): 309.4

CIF file:
```
data_Zr2AlCr2Ru5
_cell_length_a 3.1977
_cell_length_b 9.8364
_cell_length_c 9.8364
_cell_angle_alpha 90.00
_cell_angle_beta 90.00
_cell_angle_gamma 90.00
_space_group_name_H-M_alt 'P 1'
_space_group_IT_number 1
loop_
_space_group_symop_operation_xyz
'x,y,z'
loop_
_atom_site_label
_atom_site_fract_x
_atom_site_fract_y
_atom_site_fract_z
_atom_site_occupancy
Ru1 0.5000 0.2020 0.0608 1
Ru2 0.5000 0.4392 0.2980 1
Ru3 0.5000 0.7020 0.4392 1
Ru4 0.5000 0.7980 0.9392 1
Ru5 0.5000 0.5608 0.7020 1
Ru6 0.5000 0.9392 0.2020 1
Ru7 0.5000 0.2980 0.5608 1
Ru8 0.5000 0.0608 0.7980 1
Ru9 0.5000 0.0000 0.5000 1
Ru10 0.5000 0.5000 0.0000 1
Zr1 0.0000 0.8253 0.6747 1
Zr2 0.0000 0.1747 0.3253 1
Zr3 0.0000 0.3253 0.8253 1
Zr4 0.0000 0.6747 0.1747 1
Cr1 0.0000 0.1325 0.6325 1
Cr2 0.0000 0.6325 0.8675 1
Cr3 0.0000 0.3675 0.1325 1
Cr4 0.0000 0.8675 0.3675 1
Al1 0.0000 0.0000 0.0000 1
Al2 0.0000 0.5000 0.5000 1
```

Crystalline Tl2Bi2Se at its relaxed geometry, computed with PBE.

Results
V (Å³ per cell): 155.8
ΔE_f (raw) (eV per atom): 0.200
Energy above the most stable polymorph in this dataset (meV/atom): 226

CIF file:
```
data_Tl2Bi2Se
_cell_length_a 4.3027
_cell_length_b 4.3027
_cell_length_c 8.9468
_cell_angle_alpha 76.09
_cell_angle_beta 76.09
_cell_angle_gamma 90.00
_space_group_name_H-M_alt 'P 1'
_space_group_IT_number 1
loop_
_space_group_symop_operation_xyz
'x,y,z'
loop_
_atom_site_label
_atom_site_fract_x
_atom_site_fract_y
_atom_site_fract_z
_atom_site_occupancy
Bi1 0.4095 0.4095 0.1809 1
Bi2 0.5905 0.5905 0.8191 1
Tl1 0.7500 0.2500 0.5000 1
Tl2 0.2500 0.7500 0.5000 1
Se1 0.0000 0.0000 0.0000 1
```

Question: Which of these has the highest V?
Answer: Pu2Te3